Ce6Rh5Au: optimized geometry, GGA-PBE.

The density of states at the Fermi level is 35.11 states/eV/cell. The energy of formation comes out at -8.1 eV per formula unit.

The space group is C2/m (No. 12) and the conventional cell measures 7.0456, 12.1086 and 7.0209 Å, with angles of 90.00, 109.27 and 90.00 degrees. The asymmetric unit holds Ce at (0.2338, 0.0000, 0.2511), Ce at (0.2390, 0.1742, 0.7400), Rh at (0.0000, 0.0000, 0.5000), Rh at (0.0000, 0.1688, 0.0000), Rh at (0.0000, 0.3423, 0.5000) and Au at (0.0000, 0.5000, 0.0000).